A geometry-optimized VBrNO2 structure. Source: Alexandria via LeMat-Bulk, functional PBE with a Hubbard U.

Structure (POSCAR):
```
VBrNO2
1.0
-3.080 -2.180 -1.412
1.536 0.238 -3.717
1.986 -3.205 0.615
V N Br O
1 1 1 2
direct
0.500 0.500 0.500 V
0.000 0.000 0.500 N
0.000 0.000 0.000 Br
0.000 0.500 0.000 O
0.500 0.000 0.000 O
```

Calculated values
Mass density = 4.7 g/cm³
D(E_F) = 0.71 states/eV/atom
VASP energy = -21.786 eV/f.u.

=====

A geometry-optimized VBrN2O structure. Source: Alexandria via LeMat-Bulk, functional PBE with a Hubbard U.

Structure (POSCAR):
```
VBrN2O
1.0
-1.528 -2.955 2.291
3.735 -1.090 1.085
-0.159 2.286 2.843
V O Br N
1 1 1 2
direct
0.000 0.000 0.000 V
0.000 0.000 0.500 O
0.500 0.500 0.500 Br
0.500 0.000 0.000 N
0.000 0.500 0.000 N
```

Calculated values
Mass density = 4.9 g/cm³
D(E_F) = 0.55 states/eV/atom
VASP energy = -26.902 eV/f.u.

=====

A geometry-optimized VBrN2O structure. Source: Alexandria via LeMat-Bulk, functional PBE with a Hubbard U.

Structure (POSCAR):
```
VBrN2O
1.0
-0.228 3.843 -1.134
-1.445 0.980 3.613
3.422 0.561 1.216
N Br O V
2 1 1 1
direct
0.000 0.500 0.000 N
0.500 0.000 0.000 N
0.000 0.000 0.000 Br
0.000 0.000 0.500 O
0.500 0.500 0.500 V
```

Calculated values
Mass density = 4.9 g/cm³
D(E_F) = 0.18 states/eV/atom
VASP energy = -21.335 eV/f.u.

=====

A geometry-optimized VBrNO2 structure. Source: Alexandria via LeMat-Bulk, functional PBE with a Hubbard U.

Structure (POSCAR):
```
VBrNO2
1.0
-0.910 3.385 -1.015
-2.033 -1.359 -2.709
-3.623 -0.138 2.788
Br V O N
1 1 2 1
direct
0.500 0.500 0.500 Br
0.000 0.000 0.000 V
0.500 0.000 0.000 O
0.000 0.500 0.000 O
0.000 0.000 0.500 N
```

Calculated values
Mass density = 4.8 g/cm³
D(E_F) = 0.46 states/eV/atom
VASP energy = -27.458 eV/f.u.

=====

A geometry-optimized WBrN2O structure. Source: Alexandria via LeMat-Bulk, functional PBE with a Hubbard U.

Structure (POSCAR):
```
WBrN2O
1.0
-0.049 0.934 4.004
-1.852 -3.580 0.812
3.281 -1.603 0.414
W N Br O
1 2 1 1
direct
0.500 0.500 0.500 W
0.500 0.000 0.000 N
0.000 0.500 0.000 N
0.000 0.000 0.000 Br
0.000 0.000 0.500 O
```

Calculated values
Mass density = 8.2 g/cm³
D(E_F) = 0.33 states/eV/atom
VASP energy = -20.990 eV/f.u.

=====

A geometry-optimized WBrN2O structure. Source: Alexandria via LeMat-Bulk, functional PBE with a Hubbard U.

Structure (POSCAR):
```
WBrN2O
1.0
-0.694 4.052 -0.408
-3.468 -0.805 -2.096
-2.003 -0.009 3.317
N W Br O
2 1 1 1
direct
0.500 0.000 0.000 N
0.000 0.500 0.000 N
0.000 0.000 0.000 W
0.500 0.500 0.500 Br
0.000 0.000 0.500 O
```

Calculated values
Mass density = 7.7 g/cm³
D(E_F) = 0.74 states/eV/atom
VASP energy = -28.283 eV/f.u.

=====

- The highest VASP energy belongs to which entry?
  number 5